Entry 1:
Density functional theory data (PBE) for a relaxed structure of NaCuTe2.

Output
The space-group type is No. 13. The calculation puts the formation energy without anion corrections at -0.313 eV/atom.

Cell lengths 6.0361, 5.5641, 14.5273 Å; angles 90.05, 90.00, 90.00 degrees
Closest atoms and distances in Å follow each position.
Sites, in units of the cell vectors:
Te: 0.7336 0.5010 0.5302  1 Cu 2.53
Te: 0.7336 0.9990 0.9698  1 Cu 2.53
Te: 0.8184 0.4999 0.1887  1 Cu 2.51
Te: 0.8184 0.0001 0.3113  1 Cu 2.51
Te: 0.2664 0.0010 0.0302  1 Cu 2.53
Te: 0.1816 0.9999 0.6887  1 Cu 2.51
Te: 0.2664 0.4990 0.4698  1 Cu 2.53
Te: 0.1816 0.5001 0.8113  1 Cu 2.51
Na: 0.6842 0.0010 0.6240  4 Te 3.11-3.18
Na: 0.3158 0.9990 0.3760  4 Te 3.11-3.18
Na: 0.6842 0.4990 0.8760  4 Te 3.11-3.18
Na: 0.3158 0.5010 0.1240  4 Te 3.11-3.18
Cu: 0.1603 0.4993 0.6384  2 Te 2.51-2.53
Cu: 0.8397 0.9993 0.1384  2 Te 2.51-2.53
Cu: 0.1603 0.0007 0.8616  2 Te 2.51-2.53
Cu: 0.8397 0.5007 0.3616  2 Te 2.51-2.53

---

Entry 2:
Density functional theory data (PBE) for a relaxed structure of NaCuTe2.

Output
The space-group type is No. 225. The calculation puts the formation energy without anion corrections at 0.020 eV/atom.

Cell lengths 5.1286, 5.1286, 5.1286 Å; angles 60.00, 60.00, 60.00 degrees
Closest atoms and distances in Å follow each position.
Sites, in units of the cell vectors:
Te: 0.7500 0.7500 0.7500  4 Cu 3.14, 4 Na 3.14
Te: 0.2500 0.2500 0.2500  4 Na 3.14, 4 Cu 3.14
Cu: 0.5000 0.5000 0.5000  8 Te 3.14
Na: 0.0000 0.0000 0.0000  8 Te 3.14

---

Entry 3:
Density functional theory data (PBE) for a relaxed structure of Na3CuTe2.

Output
The space-group type is No. 62. The calculation puts the formation energy without anion corrections at -0.687 eV/atom.

Cell lengths 4.4641, 12.6141, 11.8879 Å; angles 90.00, 90.00, 90.00 degrees
Closest atoms and distances in Å follow each position.
Sites, in units of the cell vectors:
Na: 0.7500 0.9492 0.1254  3 Cu 3.16-3.20, 5 Te 3.20-3.36
Na: 0.7500 0.3112 0.7994  2 Cu 3.12, 4 Te 3.13-3.22
Na: 0.7500 0.5508 0.6254  3 Cu 3.16-3.20, 5 Te 3.20-3.36
Na: 0.7500 0.1888 0.2994  2 Cu 3.12, 4 Te 3.13-3.22
Na: 0.2500 0.8112 0.7006  2 Cu 3.12, 4 Te 3.13-3.22
Na: 0.2500 0.6888 0.2006  2 Cu 3.12, 4 Te 3.13-3.22
Na: 0.2500 0.4492 0.3746  3 Cu 3.16-3.20, 5 Te 3.20-3.36
Na: 0.2500 0.0508 0.8746  3 Cu 3.16-3.20, 5 Te 3.20-3.36
Na: 0.7500 0.6149 0.9427  5 Te 3.21-3.36, 1 Cu 3.31
Na: 0.2500 0.1149 0.5573  5 Te 3.21-3.36, 1 Cu 3.31
Na: 0.7500 0.8851 0.4427  5 Te 3.21-3.36, 1 Cu 3.31
Na: 0.2500 0.3851 0.0573  5 Te 3.21-3.36, 1 Cu 3.31
Te: 0.2500 0.6881 0.4717  2 Cu 2.62
Te: 0.7500 0.5147 0.1941  1 Cu 2.59
Te: 0.2500 0.4853 0.8059  1 Cu 2.59
Te: 0.7500 0.9853 0.6941  1 Cu 2.59
Te: 0.7500 0.3119 0.5283  2 Cu 2.62
Te: 0.2500 0.0147 0.3059  1 Cu 2.59
Te: 0.7500 0.1881 0.0283  2 Cu 2.62
Te: 0.2500 0.8119 0.9717  2 Cu 2.62
Cu: 0.2500 0.1311 0.1264  3 Te 2.59-2.62
Cu: 0.7500 0.8689 0.8736  3 Te 2.59-2.62
Cu: 0.7500 0.6311 0.3736  3 Te 2.59-2.62
Cu: 0.2500 0.3689 0.6264  3 Te 2.59-2.62

---

Entry 4:
Density functional theory data (PBE) for a relaxed structure of Na3Th3CuTe8.

Output
The space-group type is No. 12. The calculation puts the formation energy without anion corrections at -0.938 eV/atom.

Cell lengths 9.2745, 8.8575, 8.9645 Å; angles 117.74, 90.00, 121.57 degrees
Closest atoms and distances in Å follow each position.
Sites, in units of the cell vectors:
Te: 0.7223 0.9825 0.7424  2 Th 3.06-3.11, 2 Na 3.28-3.35, 1 Cu 3.36
Te: 0.7398 0.0175 0.2576  2 Th 3.06-3.11, 2 Na 3.28-3.35, 1 Cu 3.36
Te: 0.2065 0.4130 0.6969  1 Cu 2.61
Te: 0.2777 0.0175 0.2576  2 Th 3.06-3.11, 2 Na 3.28-3.35, 1 Cu 3.36
Te: 0.7935 0.5870 0.3031  1 Cu 2.61
Te: 0.7504 0.5009 0.7463  3 Na 3.16-3.25, 3 Th 3.17-3.20
Te: 0.2496 0.4991 0.2537  3 Na 3.16-3.25, 3 Th 3.17-3.20
Te: 0.2602 0.9825 0.7424  2 Th 3.06-3.11, 2 Na 3.28-3.35, 1 Cu 3.36
Na: 0.0000 0.5000 0.0000  6 Te 3.25-3.35
Na: 0.0000 0.0000 0.0000  6 Te 3.16-3.35
Na: 0.5000 0.5000 0.0000  6 Te 3.25-3.35
Th: 0.5000 0.0000 0.5000  6 Te 3.11-3.17
Th: 0.5000 0.5000 0.5000  6 Te 3.06-3.20
Th: 0.0000 0.5000 0.5000  6 Te 3.06-3.20
Cu: 0.0000 0.0000 0.5000  2 Te 2.61

---

> The highest formation energy without anion corrections belongs to which entry?

number 2

---

> Look up the formation energy without anion corrections of the second one.

0.020 eV/atom